Record 1
Entry from Alexandria via LeMat-Bulk: crystalline K5Hg2Pt at its relaxed geometry (GGA-PBE).

Output
Calculated volume ... 1452 Å³/cell
Spin magnetization ... 0.000 μB/f.u.
E_form ... -119 meV per atom
Energy ... -1.635 eV/atom

Cell and atoms, written as CIF:
```
data_K5Hg2Pt
_cell_length_a 4.717
_cell_length_b 17.332
_cell_length_c 17.760
_cell_angle_alpha 90.00
_cell_angle_beta 90.00
_cell_angle_gamma 90.00
_symmetry_space_group_name_H-M 'C m c m'
_symmetry_Int_Tables_number 63
_symmetry_space_group_name_Hall '-C 2c 2'
loop_
_atom_site_label
_atom_site_fract_x
_atom_site_fract_y
_atom_site_fract_z
K1 0.000 0.085 0.131
K2 0.000 0.332 0.053
K3 0.000 0.406 0.250
Hg1 0.000 0.266 0.661
Pt1 0.000 0.230 0.250
```

=====

Record 2
Entry from Alexandria via LeMat-Bulk: crystalline KHgPt4 at its relaxed geometry (GGA-PBE).

Output
Calculated volume ... 458 Å³/cell
Spin magnetization ... 0.000 μB/f.u.
E_form ... -58 meV per atom
Energy ... -4.318 eV/atom

Cell and atoms, written as CIF:
```
data_KHgPt4
_cell_length_a 7.710
_cell_length_b 7.710
_cell_length_c 7.710
_cell_angle_alpha 90.00
_cell_angle_beta 90.00
_cell_angle_gamma 90.00
_symmetry_space_group_name_H-M 'F -4 3 m'
_symmetry_Int_Tables_number 216
_symmetry_space_group_name_Hall 'F -4 2 3'
loop_
_atom_site_label
_atom_site_fract_x
_atom_site_fract_y
_atom_site_fract_z
K1 0.000 0.000 0.000
Hg1 0.250 0.250 0.750
Pt1 0.125 0.125 0.375
```

=====

Record 3
Entry from Alexandria via LeMat-Bulk: crystalline K3Hg9Pt2 at its relaxed geometry (GGA-PBE).

Output
Calculated volume ... 405 Å³/cell
Spin magnetization ... 0.000 μB/f.u.
E_form ... -220 meV per atom
Energy ... -1.512 eV/atom

Cell and atoms, written as CIF:
```
data_K3Hg9Pt2
_cell_length_a 7.2523
_cell_length_b 7.2523
_cell_length_c 8.8965
_cell_angle_alpha 90.00
_cell_angle_beta 90.00
_cell_angle_gamma 120.00
_symmetry_space_group_name_H-M 'P -3 m 1'
_symmetry_Int_Tables_number 164
_symmetry_space_group_name_Hall '-P 3 2"'
loop_
_atom_site_label
_atom_site_fract_x
_atom_site_fract_y
_atom_site_fract_z
K1 0.0000 0.0000 0.0000
K2 0.3333 0.6667 0.3356
Hg1 0.0000 0.5000 0.0000
Hg2 0.1478 0.2957 0.6449
Pt1 0.3333 0.6667 0.8073
```

=====

Record 4
Entry from Alexandria via LeMat-Bulk: crystalline K4Hg12Pt at its relaxed geometry (GGA-PBE).

Output
Calculated volume ... 1002 Å³/cell
Spin magnetization ... 0.000 μB/f.u.
E_form ... -191 meV per atom
Energy ... -1.018 eV/atom

Cell and atoms, written as CIF:
```
data_K4Hg12Pt
_cell_length_a 10.006
_cell_length_b 10.006
_cell_length_c 10.006
_cell_angle_alpha 90.00
_cell_angle_beta 90.00
_cell_angle_gamma 90.00
_symmetry_space_group_name_H-M 'I m -3 m'
_symmetry_Int_Tables_number 229
_symmetry_space_group_name_Hall '-I 4 2 3'
loop_
_atom_site_label
_atom_site_fract_x
_atom_site_fract_y
_atom_site_fract_z
K1 0.250 0.250 0.250
Hg1 0.000 0.000 0.281
Hg2 0.000 0.250 0.500
Pt1 0.000 0.000 0.000
```

=====

Record 5
Entry from Alexandria via LeMat-Bulk: crystalline K8Hg2Pt at its relaxed geometry (GGA-PBE).

Output
Calculated volume ... 984 Å³/cell
Spin magnetization ... 0.000 μB/f.u.
E_form ... -81 meV per atom
Energy ... -1.483 eV/atom

Cell and atoms, written as CIF:
```
data_K8Hg2Pt
_cell_length_a 21.481
_cell_length_b 5.895
_cell_length_c 8.174
_cell_angle_alpha 90.00
_cell_angle_beta 108.06
_cell_angle_gamma 90.00
_symmetry_space_group_name_H-M 'C 1 2/m 1'
_symmetry_Int_Tables_number 12
_symmetry_space_group_name_Hall '-C 2y'
loop_
_atom_site_label
_atom_site_fract_x
_atom_site_fract_y
_atom_site_fract_z
K1 0.022 0.000 0.307
K2 0.088 0.500 0.907
K3 0.148 0.500 0.457
K4 0.214 0.000 0.801
Hg1 0.179 0.000 0.209
Pt1 0.000 0.500 0.500
```

=====

Record 6
Entry from Alexandria via LeMat-Bulk: crystalline K2HgPt2 at its relaxed geometry (GGA-PBE).

Output
Calculated volume ... 269 Å³/cell
Spin magnetization ... 0.000 μB/f.u.
E_form ... -189 meV per atom
Excess energy over the best structure of this formula in the dataset ... 0.000 eV per atom
Energy ... -3.104 eV/atom

Cell and atoms, written as CIF:
```
data_K2HgPt2
_cell_length_a 4.753
_cell_length_b 5.471
_cell_length_c 10.330
_cell_angle_alpha 90.00
_cell_angle_beta 90.00
_cell_angle_gamma 90.00
_symmetry_space_group_name_H-M 'I m m m'
_symmetry_Int_Tables_number 71
_symmetry_space_group_name_Hall '-I 2 2'
loop_
_atom_site_label
_atom_site_fract_x
_atom_site_fract_y
_atom_site_fract_z
K1 0.000 0.000 0.203
Hg1 0.000 0.500 0.000
Pt1 0.000 0.262 0.500
```

=====

Record 7
Entry from Alexandria via LeMat-Bulk: crystalline KHg2Pt2 at its relaxed geometry (GGA-PBE).

Output
Calculated volume ... 247 Å³/cell
Spin magnetization ... 0.000 μB/f.u.
E_form ... -71 meV per atom
Excess energy over the best structure of this formula in the dataset ... 0.038 eV per atom
Energy ... -2.827 eV/atom

Cell and atoms, written as CIF:
```
data_KHg2Pt2
_cell_length_a 4.698
_cell_length_b 4.698
_cell_length_c 11.179
_cell_angle_alpha 90.00
_cell_angle_beta 90.00
_cell_angle_gamma 90.00
_symmetry_space_group_name_H-M 'I 4/m m m'
_symmetry_Int_Tables_number 139
_symmetry_space_group_name_Hall '-I 4 2'
loop_
_atom_site_label
_atom_site_fract_x
_atom_site_fract_y
_atom_site_fract_z
K1 0.000 0.000 0.000
Hg1 0.000 0.500 0.250
Pt1 0.000 0.000 0.387
```

=====

Record 8
Entry from Alexandria via LeMat-Bulk: crystalline K4HgPt at its relaxed geometry (GGA-PBE).

Output
Calculated volume ... 905 Å³/cell
Spin magnetization ... 0.000 μB/f.u.
E_form ... 385 meV per atom
Energy ... -1.404 eV/atom

Cell and atoms, written as CIF:
```
data_K4HgPt
_cell_length_a 9.674
_cell_length_b 9.674
_cell_length_c 9.674
_cell_angle_alpha 90.00
_cell_angle_beta 90.00
_cell_angle_gamma 90.00
_symmetry_space_group_name_H-M 'F -4 3 m'
_symmetry_Int_Tables_number 216
_symmetry_space_group_name_Hall 'F -4 2 3'
loop_
_atom_site_label
_atom_site_fract_x
_atom_site_fract_y
_atom_site_fract_z
K1 0.123 0.123 0.123
Hg1 0.000 0.000 0.500
Pt1 0.250 0.250 0.750
```

=====

Record 9
Entry from Alexandria via LeMat-Bulk: crystalline K2Hg2Pt at its relaxed geometry (GGA-PBE).

Output
Calculated volume ... 347 Å³/cell
Spin magnetization ... 0.000 μB/f.u.
E_form ... 159 meV per atom
Excess energy over the best structure of this formula in the dataset ... 0.380 eV per atom
Energy ... -1.609 eV/atom

Cell and atoms, written as CIF:
```
data_K2Hg2Pt
_cell_length_a 8.097
_cell_length_b 8.097
_cell_length_c 5.295
_cell_angle_alpha 90.00
_cell_angle_beta 90.00
_cell_angle_gamma 90.00
_symmetry_space_group_name_H-M 'P 4/m b m'
_symmetry_Int_Tables_number 127
_symmetry_space_group_name_Hall '-P 4 2ab'
loop_
_atom_site_label
_atom_site_fract_x
_atom_site_fract_y
_atom_site_fract_z
K1 0.155 0.345 0.000
Hg1 0.154 0.654 0.500
Pt1 0.000 0.000 0.000
```

=====

Record 10
Entry from Alexandria via LeMat-Bulk: crystalline KHg6Pt6 at its relaxed geometry (GGA-PBE).

Output
Calculated volume ... 524 Å³/cell
Spin magnetization ... 0.000 μB/f.u.
E_form ... -129 meV per atom
Energy ... -3.140 eV/atom

Cell and atoms, written as CIF:
```
data_KHg6Pt6
_cell_length_a 5.697
_cell_length_b 9.385
_cell_length_c 9.800
_cell_angle_alpha 90.00
_cell_angle_beta 90.00
_cell_angle_gamma 90.00
_symmetry_space_group_name_H-M 'I m m m'
_symmetry_Int_Tables_number 71
_symmetry_space_group_name_Hall '-I 2 2'
loop_
_atom_site_label
_atom_site_fract_x
_atom_site_fract_y
_atom_site_fract_z
K1 0.000 0.000 0.000
Hg1 0.000 0.000 0.338
Hg2 0.000 0.334 0.000
Hg3 0.000 0.500 0.326
Pt1 0.000 0.253 0.500
Pt2 0.250 0.250 0.250
```

=====

Record 11
Entry from Alexandria via LeMat-Bulk: crystalline K4Hg2Pt at its relaxed geometry (GGA-PBE).

Output
Calculated volume ... 859 Å³/cell
Spin magnetization ... 0.000 μB/f.u.
E_form ... -175 meV per atom
Excess energy over the best structure of this formula in the dataset ... 0.000 eV per atom
Energy ... -1.751 eV/atom

Cell and atoms, written as CIF:
```
data_K4Hg2Pt
_cell_length_a 5.6629
_cell_length_b 5.6629
_cell_length_c 30.9481
_cell_angle_alpha 90.00
_cell_angle_beta 90.00
_cell_angle_gamma 120.00
_symmetry_space_group_name_H-M 'R -3 m'
_symmetry_Int_Tables_number 166
_symmetry_space_group_name_Hall '-R 3 2"'
loop_
_atom_site_label
_atom_site_fract_x
_atom_site_fract_y
_atom_site_fract_z
K1 0.0000 0.0000 0.1368
K2 0.0000 0.0000 0.2934
Hg1 0.0000 0.0000 0.4128
Pt1 0.0000 0.0000 0.5000
```

=====

Record 12
Entry from Alexandria via LeMat-Bulk: crystalline K3Hg2Pt at its relaxed geometry (GGA-PBE).

Output
Calculated volume ... 870 Å³/cell
Spin magnetization ... 0.000 μB/f.u.
E_form ... -174 meV per atom
Energy ... -1.830 eV/atom

Cell and atoms, written as CIF:
```
data_K3Hg2Pt
_cell_length_a 8.258
_cell_length_b 10.548
_cell_length_c 10.103
_cell_angle_alpha 90.00
_cell_angle_beta 98.74
_cell_angle_gamma 90.00
_symmetry_space_group_name_H-M 'P 1 21/c 1'
_symmetry_Int_Tables_number 14
_symmetry_space_group_name_Hall '-P 2ybc'
loop_
_atom_site_label
_atom_site_fract_x
_atom_site_fract_y
_atom_site_fract_z
K1 0.158 0.065 0.133
K2 0.233 0.665 0.244
K3 0.341 0.137 0.539
Hg1 0.066 0.603 0.915
Hg2 0.477 0.102 0.889
Pt1 0.150 0.155 0.811
```

=====

Record 13
Entry from Alexandria via LeMat-Bulk: crystalline K2Hg5Pt at its relaxed geometry (GGA-PBE).

Output
Calculated volume ... 530 Å³/cell
Spin magnetization ... 0.000 μB/f.u.
E_form ... -194 meV per atom
Energy ... -1.412 eV/atom

Cell and atoms, written as CIF:
```
data_K2Hg5Pt
_cell_length_a 6.751
_cell_length_b 6.751
_cell_length_c 11.622
_cell_angle_alpha 90.00
_cell_angle_beta 90.00
_cell_angle_gamma 90.00
_symmetry_space_group_name_H-M 'I 4 m m'
_symmetry_Int_Tables_number 107
_symmetry_space_group_name_Hall 'I 4 -2'
loop_
_atom_site_label
_atom_site_fract_x
_atom_site_fract_y
_atom_site_fract_z
K1 0.000 0.500 0.000
Hg1 0.000 0.000 0.106
Hg2 0.250 0.250 0.258
Pt1 0.000 0.000 0.874
```

=====

Record 14
Entry from Alexandria via LeMat-Bulk: crystalline K2HgPt2 at its relaxed geometry (GGA-PBE).

Output
Calculated volume ... 318 Å³/cell
Spin magnetization ... 0.000 μB/f.u.
E_form ... 109 meV per atom
Excess energy over the best structure of this formula in the dataset ... 0.298 eV per atom
Energy ... -2.806 eV/atom

Cell and atoms, written as CIF:
```
data_K2HgPt2
_cell_length_a 6.381
_cell_length_b 6.381
_cell_length_c 7.820
_cell_angle_alpha 90.00
_cell_angle_beta 90.00
_cell_angle_gamma 90.00
_symmetry_space_group_name_H-M 'I 4/m m m'
_symmetry_Int_Tables_number 139
_symmetry_space_group_name_Hall '-I 4 2'
loop_
_atom_site_label
_atom_site_fract_x
_atom_site_fract_y
_atom_site_fract_z
K1 0.000 0.500 0.250
Hg1 0.000 0.000 0.000
Pt1 0.000 0.000 0.339
```

=====

Record 15
Entry from Alexandria via LeMat-Bulk: crystalline KHg4Pt at its relaxed geometry (GGA-PBE).

Output
Calculated volume ... 231 Å³/cell
Spin magnetization ... 0.000 μB/f.u.
E_form ... -130 meV per atom
Excess energy over the best structure of this formula in the dataset ... 0.000 eV per atom
Energy ... -1.521 eV/atom

Cell and atoms, written as CIF:
```
data_KHg4Pt
_cell_length_a 5.343
_cell_length_b 5.343
_cell_length_c 8.075
_cell_angle_alpha 90.00
_cell_angle_beta 90.00
_cell_angle_gamma 90.00
_symmetry_space_group_name_H-M 'P 4/m m m'
_symmetry_Int_Tables_number 123
_symmetry_space_group_name_Hall '-P 4 2'
loop_
_atom_site_label
_atom_site_fract_x
_atom_site_fract_y
_atom_site_fract_z
K1 0.000 0.000 0.000
Hg1 0.000 0.500 0.500
Hg2 0.500 0.500 0.175
Pt1 0.500 0.500 0.500
```

=====

Record 16
Entry from Alexandria via LeMat-Bulk: crystalline K2HgPt2 at its relaxed geometry (GGA-PBE).

Output
Calculated volume ... 259 Å³/cell
Spin magnetization ... 0.000 μB/f.u.
E_form ... -92 meV per atom
Excess energy over the best structure of this formula in the dataset ... 0.097 eV per atom
Energy ... -3.008 eV/atom

Cell and atoms, written as CIF:
```
data_K2HgPt2
_cell_length_a 7.016
_cell_length_b 7.016
_cell_length_c 5.255
_cell_angle_alpha 90.00
_cell_angle_beta 90.00
_cell_angle_gamma 90.00
_symmetry_space_group_name_H-M 'P 4/m b m'
_symmetry_Int_Tables_number 127
_symmetry_space_group_name_Hall '-P 4 2ab'
loop_
_atom_site_label
_atom_site_fract_x
_atom_site_fract_y
_atom_site_fract_z
K1 0.173 0.327 0.000
Hg1 0.000 0.000 0.500
Pt1 0.130 0.630 0.500
```

=====

Record 17
Entry from Alexandria via LeMat-Bulk: crystalline K12Hg6Pt at its relaxed geometry (GGA-PBE).

Output
Calculated volume ... 2539 Å³/cell
Spin magnetization ... 0.000 μB/f.u.
E_form ... -79 meV per atom
Energy ... -1.185 eV/atom

Cell and atoms, written as CIF:
```
data_K12Hg6Pt
_cell_length_a 12.0404
_cell_length_b 12.0404
_cell_length_c 20.2260
_cell_angle_alpha 90.00
_cell_angle_beta 90.00
_cell_angle_gamma 120.00
_symmetry_space_group_name_H-M 'R -3 m'
_symmetry_Int_Tables_number 166
_symmetry_space_group_name_Hall '-R 3 2"'
loop_
_atom_site_label
_atom_site_fract_x
_atom_site_fract_y
_atom_site_fract_z
K1 0.0448 0.5224 0.3984
K2 0.0900 0.5450 0.0959
Hg1 0.0986 0.1971 0.0990
Pt1 0.0000 0.0000 0.0000
```

=====

Record 18
Entry from Alexandria via LeMat-Bulk: crystalline K3HgPt at its relaxed geometry (GGA-PBE).

Output
Calculated volume ... 234 Å³/cell
Spin magnetization ... 0.000 μB/f.u.
E_form ... 15 meV per atom
Excess energy over the best structure of this formula in the dataset ... 0.151 eV per atom
Energy ... -1.912 eV/atom

Cell and atoms, written as CIF:
```
data_K3HgPt
_cell_length_a 6.167
_cell_length_b 6.167
_cell_length_c 6.167
_cell_angle_alpha 90.00
_cell_angle_beta 90.00
_cell_angle_gamma 90.00
_symmetry_space_group_name_H-M 'P m -3 m'
_symmetry_Int_Tables_number 221
_symmetry_space_group_name_Hall '-P 4 2 3'
loop_
_atom_site_label
_atom_site_fract_x
_atom_site_fract_y
_atom_site_fract_z
K1 0.000 0.000 0.500
Hg1 0.500 0.500 0.500
Pt1 0.000 0.000 0.000
```

=====

Record 19
Entry from Alexandria via LeMat-Bulk: crystalline K4Hg2Pt at its relaxed geometry (GGA-PBE).

Output
Calculated volume ... 653 Å³/cell
Spin magnetization ... 0.000 μB/f.u.
E_form ... -30 meV per atom
Excess energy over the best structure of this formula in the dataset ... 0.145 eV per atom
Energy ... -1.606 eV/atom

Cell and atoms, written as CIF:
```
data_K4Hg2Pt
_cell_length_a 6.194
_cell_length_b 6.194
_cell_length_c 17.034
_cell_angle_alpha 90.00
_cell_angle_beta 90.00
_cell_angle_gamma 90.00
_symmetry_space_group_name_H-M 'I 4/m m m'
_symmetry_Int_Tables_number 139
_symmetry_space_group_name_Hall '-I 4 2'
loop_
_atom_site_label
_atom_site_fract_x
_atom_site_fract_y
_atom_site_fract_z
K1 0.000 0.000 0.182
K2 0.000 0.500 0.000
Hg1 0.000 0.000 0.394
Pt1 0.000 0.000 0.000
```

=====

Record 20
Entry from Alexandria via LeMat-Bulk: crystalline KHg2Pt2 at its relaxed geometry (GGA-PBE).

Output
Calculated volume ... 211 Å³/cell
Spin magnetization ... 0.000 μB/f.u.
E_form ... -108 meV per atom
Excess energy over the best structure of this formula in the dataset ... 0.000 eV per atom
Energy ... -2.865 eV/atom

Cell and atoms, written as CIF:
```
data_KHg2Pt2
_cell_length_a 8.369
_cell_length_b 8.369
_cell_length_c 3.016
_cell_angle_alpha 90.00
_cell_angle_beta 90.00
_cell_angle_gamma 90.00
_symmetry_space_group_name_H-M 'P 4/m b m'
_symmetry_Int_Tables_number 127
_symmetry_space_group_name_Hall '-P 4 2ab'
loop_
_atom_site_label
_atom_site_fract_x
_atom_site_fract_y
_atom_site_fract_z
K1 0.000 0.000 0.000
Hg1 0.176 0.324 0.500
Pt1 0.120 0.620 0.000
```